{
  "formula": "K2BePdO4",
  "functional": "GGA-PBE",
  "state": "optimized geometry",
  "e_form_raw_ev_per_atom": -1.2078,
  "total_energy_ev_per_atom": -5.0762,
  "lattice_angstrom": [[5.204, 0.000, 0.000], [2.602, 5.642, 0.000], [2.602, 0.000, 9.626]],
  "species": ["Be", "Be", "O", "O", "O", "O", "O", "O", "O", "O", "K", "K", "K", "K", "Pd", "Pd"],
  "fractional_positions": [[0.250, 0.500, 0.500], [0.500, 0.000, 0.000], [0.328, 0.841, 0.086], [0.164, 0.341, 0.414], [0.495, 0.341, 0.586], [0.255, 0.159, 0.914], [0.586, 0.159, 0.086], [0.919, 0.659, 0.586], [0.422, 0.659, 0.414], [0.831, 0.841, 0.914], [0.823, 0.000, 0.354], [0.927, 0.500, 0.146], [0.177, 0.000, 0.646], [0.573, 0.500, 0.854], [0.750, 0.500, 0.500], [0.000, 0.000, 0.000]]
}